[1]
TbNd2TlN: relaxed, GGA-PBE.

Total energy   -5.817 eV per atom
Volume   123.55 Å³/f.u.
Spin magnetization   0.00 μB per cell
ΔE_f (raw)   -0.845 eV per atom

Cell: 5.0438 5.0438 4.8564 Å, 90.00 90.00 90.00°
Space group P4/mmm (No. 123)
Inequivalent atoms, fractional coordinates:
1 Tb 0.0000 0.0000 0.0000 x1
2 Nd 0.0000 0.5000 0.5000 x2
3 Tl 0.5000 0.5000 0.0000 x1
4 N 0.0000 0.0000 0.5000 x1

---

[2]
Tb2NdTmN4: relaxed, GGA-PBE.

Total energy   -8.072 eV per atom
Volume   122.98 Å³/f.u.
Spin magnetization   0.00 μB per cell
ΔE_f (raw)   -1.597 eV per atom

Cell: 6.0882 3.5165 6.0910 Å, 90.00 109.42 90.00°
Space group P2/m (No. 10)
Inequivalent atoms, fractional coordinates:
1 Tb 0.0000 0.0000 0.0000 x1
2 Tb 0.0000 0.5000 0.5000 x1
3 Nd 0.5000 0.0000 0.5000 x1
4 Tm 0.5000 0.5000 0.0000 x1
5 N 0.2454 0.5000 0.2415 x2
6 N 0.2506 0.0000 0.7569 x2

---

[3]
TbNd2UN4: relaxed, GGA-PBE.

Total energy   -8.833 eV per atom
Volume   125.58 Å³/f.u.
Spin magnetization   0.20 μB per cell
ΔE_f (raw)   -1.488 eV per atom

Cell: 6.0677 3.5483 6.1685 Å, 90.00 108.98 90.00°
Space group P2/m (No. 10)
Inequivalent atoms, fractional coordinates:
1 Tb 0.0000 0.0000 0.0000 x1
2 Nd 0.0000 0.5000 0.5000 x1
3 Nd 0.5000 0.0000 0.5000 x1
4 U 0.5000 0.5000 0.0000 x1
5 N 0.2654 0.5000 0.2163 x2
6 N 0.2774 0.0000 0.7873 x2

---

[4]
Tb2NdUN4: relaxed, GGA-PBE.

Total energy   -8.839 eV per atom
Volume   122.74 Å³/f.u.
Spin magnetization   1.33 μB per cell
ΔE_f (raw)   -1.512 eV per atom

Cell: 6.0505 3.5149 6.1071 Å, 90.00 109.08 90.00°
Space group P2/m (No. 10)
Inequivalent atoms, fractional coordinates:
1 Tb 0.0000 0.0000 0.0000 x1
2 Tb 0.0000 0.5000 0.5000 x1
3 Nd 0.5000 0.0000 0.5000 x1
4 U 0.5000 0.5000 0.0000 x1
5 N 0.2596 0.0000 0.7690 x2
6 N 0.2596 0.5000 0.2227 x2